# Ac6TlGa2 (PBE, optimized geometry)
data_Ac6TlGa2
_chemical_formula_sum 'Ac24 Tl4 Ga8'
_space_group_name_H-M_alt 'I m m m'
_space_group_IT_number 71
_space_group_name_Hall '-I 2 2'
_cell_length_a 10.713
_cell_length_b 10.884
_cell_length_c 11.514
_cell_angle_alpha 90.00
_cell_angle_beta 90.00
_cell_angle_gamma 90.00
loop_
_atom_site_label
_atom_site_type_symbol
_atom_site_fract_x
_atom_site_fract_y
_atom_site_fract_z
Ac1 Ac 0.000 0.197 0.245
Ac2 Ac 0.197 0.500 0.173
Ac3 Ac 0.223 0.323 0.500
Tl1 Tl 0.000 0.000 0.000
Tl2 Tl 0.000 0.000 0.500
Ga1 Ga 0.000 0.347 0.000
Ga2 Ga 0.000 0.500 0.385
# **Raw total energy**: -3.979 eV per atom